No. 1
Material: AlCr5S8
Method: DFT, PBE
State: relaxed

Properties
**E_form (uncorrected)**: -0.74 eV per atom
**VASP energy**: -6.80 eV/atom

a = 7.1146 Å, b = 7.1146 Å, c = 7.1146 Å
α = 60.00°, β = 60.00°, γ = 60.00°
Last column: nearest neighbours and their distance in Å.
Element x y z (fractional)
S 0.8529 0.3824 0.3824  1 Al 2.31, 3 Cr 2.47
Cr 0.6277 0.6277 0.6277  6 S 2.39-2.47
S 0.3824 0.8529 0.3824  1 Al 2.31, 3 Cr 2.47
S 0.4051 0.8650 0.8650  4 Cr 2.35-2.39
Cr 0.1170 0.6277 0.6277  6 S 2.39-2.47
Cr 0.6277 0.6277 0.1170  6 S 2.39-2.47
Al 0.2500 0.2500 0.2500  4 S 2.31
S 0.8650 0.8650 0.4051  4 Cr 2.35-2.39
Cr 0.0000 0.0000 0.0000  4 S 2.35
S 0.3824 0.3824 0.3824  1 Al 2.31, 3 Cr 2.47
S 0.8650 0.8650 0.8650  4 Cr 2.35-2.39
S 0.8650 0.4051 0.8650  4 Cr 2.35-2.39
S 0.3824 0.3824 0.8529  1 Al 2.31, 3 Cr 2.47
Cr 0.6277 0.1170 0.6277  6 S 2.39-2.47



No. 2
Material: Al3CrS
Method: DFT, PBE
State: relaxed

Properties
**Offset from the most stable computed form**: 0.246 eV per atom
**E_form (uncorrected)**: 0.95 eV per atom
**VASP energy**: -4.05 eV/atom

a = 4.5154 Å, b = 4.5154 Å, c = 4.5154 Å
α = 90.00°, β = 90.00°, γ = 90.00°
Last column: nearest neighbours and their distance in Å.
Element x y z (fractional)
Al 0.0000 0.0000 0.5000  2 S 2.26
Al 0.5000 0.0000 0.0000  2 S 2.26
Cr 0.5000 0.5000 0.5000  12 Al 3.19
Al 0.0000 0.5000 0.0000  2 S 2.26
S 0.0000 0.0000 0.0000  6 Al 2.26



No. 3
Material: Al4CrS8
Method: DFT, PBE
State: relaxed

Properties
**E_form (uncorrected)**: -0.81 eV per atom
**VASP energy**: -5.25 eV/atom

a = 7.0116 Å, b = 7.0116 Å, c = 7.0116 Å
α = 60.00°, β = 60.00°, γ = 60.00°
Last column: nearest neighbours and their distance in Å.
Element x y z (fractional)
S 0.1178 0.1178 0.6467  1 Cr 2.27
S 0.6270 0.6270 0.6270  3 Al 2.34
Al 0.8620 0.8620 0.4141  6 S 2.34-2.55
S 0.1178 0.6467 0.1178  1 Cr 2.27
Al 0.8620 0.8620 0.8620  6 S 2.34-2.55
S 0.1191 0.6270 0.6270  3 Al 2.34
Cr 0.2500 0.2500 0.2500  4 S 2.27
S 0.1178 0.1178 0.1178  1 Cr 2.27
S 0.6270 0.1191 0.6270  3 Al 2.34
Al 0.8620 0.4141 0.8620  6 S 2.34-2.55
S 0.6467 0.1178 0.1178  1 Cr 2.27
S 0.6270 0.6270 0.1191  3 Al 2.34
Al 0.4141 0.8620 0.8620  6 S 2.34-2.55



No. 4
Material: AlCr3S
Method: DFT, PBE
State: relaxed

Properties
**Offset from the most stable computed form**: 1.031 eV per atom
**E_form (uncorrected)**: 1.28 eV per atom
**VASP energy**: -6.07 eV/atom

a = 4.7389 Å, b = 4.7389 Å, c = 4.7389 Å
α = 90.00°, β = 90.00°, γ = 90.00°
Last column: nearest neighbours and their distance in Å.
Element x y z (fractional)
Cr 0.0000 0.0000 0.5000  2 Al 2.37
Cr 0.5000 0.0000 0.0000  2 Al 2.37
S 0.5000 0.5000 0.5000  12 Cr 3.35
Cr 0.0000 0.5000 0.0000  2 Al 2.37
Al 0.0000 0.0000 0.0000  6 Cr 2.37



No. 5
Material: Al2CrS4
Method: DFT, PBE
State: relaxed

Properties
**E_form (uncorrected)**: -0.86 eV per atom
**VASP energy**: -5.66 eV/atom

a = 3.5364 Å, b = 5.9994 Å, c = 6.8156 Å
α = 117.00°, β = 105.04°, γ = 90.00°
Last column: nearest neighbours and their distance in Å.
Element x y z (fractional)
Al 0.7346 0.7509 0.4691  6 S 2.37-2.52
Al 0.2654 0.2491 0.5309  6 S 2.37-2.52
S 0.1274 0.8033 0.2548  3 Al 2.37-2.43, 1 Cr 2.46
S 0.8726 0.1967 0.7452  3 Al 2.37-2.43, 1 Cr 2.46
S 0.6403 0.2958 0.2807  3 Al 2.41-2.52, 2 Cr 2.57
Cr 0.0000 0.0000 0.0000  6 S 2.46-2.57
S 0.3597 0.7042 0.7193  3 Al 2.41-2.52, 2 Cr 2.57



No. 6
Material: AlCr3S
Method: DFT, PBE
State: relaxed

Properties
**Offset from the most stable computed form**: 0.000 eV per atom
**E_form (uncorrected)**: 0.25 eV per atom
**VASP energy**: -7.10 eV/atom

a = 4.1361 Å, b = 4.1361 Å, c = 4.1361 Å
α = 90.00°, β = 90.00°, γ = 90.00°
Last column: nearest neighbours and their distance in Å.
Element x y z (fractional)
Al 0.5000 0.5000 0.5000  12 Cr 2.92
S 0.0000 0.0000 0.0000  6 Cr 2.07
Cr 0.0000 0.0000 0.5000  2 S 2.07
Cr 0.0000 0.5000 0.0000  2 S 2.07
Cr 0.5000 0.0000 0.0000  2 S 2.07



No. 7
Material: AlCrS3
Method: DFT, PBE
State: relaxed

Properties
**Offset from the most stable computed form**: 0.000 eV per atom
**E_form (uncorrected)**: -0.88 eV per atom
**VASP energy**: -6.03 eV/atom

a = 3.6111 Å, b = 5.8513 Å, c = 9.9944 Å
α = 90.00°, β = 100.41°, γ = 90.00°
Last column: nearest neighbours and their distance in Å.
Element x y z (fractional)
S 0.7728 0.7427 0.5456  1 Al 2.29, 3 Cr 2.45-2.47
Al 0.8730 0.9427 0.7460  4 S 2.23-2.29
S 0.8807 0.3223 0.7615  1 Al 2.23, 2 Cr 2.40
S 0.2272 0.2427 0.4544  1 Al 2.29, 3 Cr 2.45-2.47
S 0.1193 0.8223 0.2385  1 Al 2.23, 2 Cr 2.40
Cr 0.3234 0.5101 0.6469  6 S 2.40-2.48
Cr 0.6766 0.0101 0.3531  6 S 2.40-2.48
S 0.5786 0.2763 0.1572  2 Al 2.26, 1 Cr 2.48
S 0.4214 0.7763 0.8428  2 Al 2.26, 1 Cr 2.48
Al 0.1270 0.4427 0.2540  4 S 2.23-2.29



No. 8
Material: Al2CrS4
Method: DFT, PBE
State: relaxed

Properties
**E_form (uncorrected)**: -0.87 eV per atom
**VASP energy**: -5.68 eV/atom

a = 7.1083 Å, b = 7.1083 Å, c = 7.1083 Å
α = 120.69°, β = 119.20°, γ = 90.10°
Last column: nearest neighbours and their distance in Å.
Element x y z (fractional)
S 0.2553 0.7399 0.5154  2 Al 2.29-2.41, 2 Cr 2.44
S 0.7246 0.7399 0.9846  2 Al 2.29-2.41, 2 Cr 2.44
Cr 0.5000 0.0000 0.0000  6 S 2.44-2.45
Al 0.0000 0.5000 0.5000  6 S 2.41-2.45
S 0.2558 0.7421 0.9863  3 Al 2.33-2.45, 1 Cr 2.45
S 0.2558 0.2695 0.5137  3 Al 2.33-2.45, 1 Cr 2.45
Al 0.1161 0.8661 0.2500  4 S 2.29-2.33
S 0.7442 0.7305 0.4863  3 Al 2.33-2.45, 1 Cr 2.45
Al 0.5000 0.5000 0.0000  6 S 2.41-2.45
Al 0.8839 0.1339 0.7500  4 S 2.29-2.33
S 0.2754 0.2601 0.0154  2 Al 2.29-2.41, 2 Cr 2.44
S 0.7442 0.2579 0.0137  3 Al 2.33-2.45, 1 Cr 2.45
Cr 0.5000 0.5000 0.5000  6 S 2.44-2.45
S 0.7447 0.2601 0.4846  2 Al 2.29-2.41, 2 Cr 2.44